# 1
Crystalline ZrCr2Hg at its relaxed geometry, computed with GGA-PBE.

energy above the lowest structure with this stoichiometry: 0.000 eV per formula unit
formation energy from the elements: 0.13 eV per atom
symmetry: P4mm, No. 99

a b c (Å): 3.0640 3.0640 7.2782
angles (deg): 90.00 90.00 90.00
With the nearest neighbours (Å) after each atom.
Atoms (fractional coordinates):
Zr  0.0000  0.0000  0.0000  5 Cr 2.88-3.07, 4 Zr 3.06, 4 Hg 3.16
Cr  0.0000  0.0000  0.4216  4 Cr 2.46
Cr  0.5000  0.5000  0.2607  4 Cr 2.46
Hg  0.5000  0.5000  0.6846  5 Cr 2.89-3.08, 4 Hg 3.06, 4 Zr 3.16



# 2
Crystalline ZrCr2Hg at its relaxed geometry, computed with GGA-PBE.

energy above the lowest structure with this stoichiometry: 1.180 eV per formula unit
formation energy from the elements: 0.42 eV per atom
symmetry: Fm-3m, No. 225

a b c (Å): 4.6332 4.6332 4.6332
angles (deg): 60.00 60.00 60.00
With the nearest neighbours (Å) after each atom.
Atoms (fractional coordinates):
Zr  0.0000  0.0000  0.0000  8 Cr 2.84
Cr  0.2500  0.2500  0.2500  4 Hg 2.84, 4 Zr 2.84
Cr  0.7500  0.7500  0.7500  4 Hg 2.84, 4 Zr 2.84
Hg  0.5000  0.5000  0.5000  8 Cr 2.84



# 3
Crystalline ZrCrHg2 at its relaxed geometry, computed with GGA-PBE.

energy above the lowest structure with this stoichiometry: 0.062 eV per formula unit
formation energy from the elements: 0.16 eV per atom
symmetry: P4/mmm, No. 123

a b c (Å): 3.3137 3.3137 7.3474
angles (deg): 90.00 90.00 90.00
With the nearest neighbours (Å) after each atom.
Atoms (fractional coordinates):
Zr  0.0000  0.0000  0.0000  8 Hg 3.07, 4 Zr 3.31
Cr  0.0000  0.0000  0.5000  8 Hg 2.88
Hg  0.5000  0.5000  0.2710  4 Cr 2.88, 4 Zr 3.07
Hg  0.5000  0.5000  0.7290  4 Cr 2.88, 4 Zr 3.07